DFT (GGA+U) results for an optimized crystal structure of Mn2HO4.

The structure in POSCAR format:
```
Mn2HO4
1.0
5.7586 0.0000 0.0000
0.0000 6.3543 0.0000
0.0000 0.0000 8.3499
Mn H O
8 4 16
Cartesian
0.0000 0.0000 0.0000
0.0000 3.1771 0.0000
1.2125 1.5886 2.1171
1.6668 4.7657 6.2920
2.8793 0.0000 4.1749
2.8793 3.1771 4.1749
4.0918 1.5886 2.0578
4.5461 4.7657 6.2328
0.3844 1.5886 4.5007
2.4949 4.7657 0.3258
3.2637 1.5886 8.0241
5.3742 4.7657 3.8491
0.2125 3.4760 6.4029
0.2125 6.0554 6.4029
1.1649 1.5886 0.1732
1.2683 1.5886 4.0679
1.6111 4.7657 8.2428
1.7144 4.7657 4.3481
2.6668 0.2989 2.2280
2.6668 2.8782 2.2280
3.0918 3.4760 6.1219
3.0918 6.0554 6.1219
4.0442 1.5886 4.0017
4.1476 1.5886 0.1070
4.4904 4.7657 4.2820
4.5937 4.7657 8.1767
5.5461 0.2989 1.9469
5.5461 2.8782 1.9469
```

Values from the calculation:
volume: 305.5 Å³ per cell
crystal system: orthorhombic
ΔE to the lowest computed polymorph: 4 meV per atom